A plane-wave DFT calculation with PBE with a Hubbard U was carried out for crystalline Hg3MoO at its relaxed geometry.

Properties
DOS at the Fermi energy: 3.0 states/eV/cell
E above lowest polymorph: 0.000 eV per atom

Cell lengths 4.846, 4.846, 4.846 Å; angles 90.00, 90.00, 90.00 degrees
Space group Pm-3m (No. 221)
Inequivalent atoms, fractional coordinates:
Hg  0.000  0.000  0.500 x3
Mo  0.500  0.500  0.500 x1
O  0.000  0.000  0.000 x1